Entry 1:
A plane-wave DFT calculation with PBE was carried out for TcTe2Ru after structural relaxation.

Output
E_form (uncorrected) ... 0.807 eV/atom
Volume ... 19.49 A^3/atom
Excess energy over the best structure of this formula in the dataset ... 798 meV per atom
Size of the total moment ... 0.00 μB per cell
Total DFT energy (no corrections) ... -5.674 eV/atom
Calculated density ... 9.68 g/cm³
DOS at the Fermi energy ... 5.71 states/eV per cell

a b c (Å): 5.3731 5.3731 5.3731
angles (deg): 144.57 117.98 73.51
With the nearest neighbours (Å) after each atom.
Positions (direct):
Tc 0.7500 0.2500 0.5000  4 Te 2.73
Te 0.0041 0.0041 0.0000  2 Ru 2.68, 2 Tc 2.73
Te 0.4959 0.4959 0.0000  2 Ru 2.68, 2 Tc 2.73
Ru 0.2500 0.7500 0.5000  4 Te 2.68


Entry 2:
A plane-wave DFT calculation with PBE was carried out for TcTe2Ru after structural relaxation.

Output
E_form (uncorrected) ... 0.357 eV/atom
Volume ... 18.20 A^3/atom
Excess energy over the best structure of this formula in the dataset ... 347 meV per atom
Size of the total moment ... 0.46 μB per cell
Total DFT energy (no corrections) ... -6.125 eV/atom
Calculated density ... 10.36 g/cm³
DOS at the Fermi energy ... 4.08 states/eV per cell

a b c (Å): 3.3224 3.3195 7.3917
angles (deg): 116.76 90.00 90.00
With the nearest neighbours (Å) after each atom.
Positions (direct):
Te 0.0000 0.9997 0.5002  4 Ru 2.87, 4 Tc 2.87
Te 0.0000 0.5003 0.9998  4 Ru 2.87, 4 Tc 2.87
Ru 0.5000 0.2500 0.2500  8 Te 2.87
Tc 0.5000 0.7500 0.7500  8 Te 2.87